No. 1
Material: Zr2PtCl
Method: DFT, PBE-GGA
State: relaxed

Results
calculated total energy = -6.9629 eV/atom
uncorrected formation energy = -0.7170 eV per atom
total magnetic moment = 0.00 μB/cell
E above lowest polymorph = 167.2 meV per atom
space-group type = Imm2

Unit cell a=7.3418 b=7.3418 c=7.3418 alpha=153.76 beta=152.71 gamma=38.22
Last column: nearest neighbours and their distance in Å.
Positions (direct):
Zr  0.0000  0.0000  0.0000  4 Cl 2.71, 2 Pt 2.80
Zr  0.7569  0.2569  0.5000  4 Pt 2.74, 2 Cl 2.74
Pt  0.1623  0.6623  0.5000  6 Zr 2.74-2.80
Cl  0.4100  0.4100  0.0000  6 Zr 2.71-2.74



No. 2
Material: WSeSN2
Method: DFT, PBE-GGA
State: relaxed

Results
calculated total energy = -6.8537 eV/atom
uncorrected formation energy = 0.5895 eV per atom
total magnetic moment = 0.00 μB/cell
E above lowest polymorph = 0.0 meV per atom
space-group type = P4/mmm

Unit cell a=3.8957 b=3.8957 c=5.1206 alpha=90.00 beta=90.00 gamma=90.00
Last column: nearest neighbours and their distance in Å.
Positions (direct):
W  0.0000  0.0000  0.0000  4 N 1.95
Se  0.5000  0.5000  0.5000  4 S 2.75
S  0.0000  0.0000  0.5000  2 W 2.56, 4 Se 2.75
N  0.0000  0.5000  0.0000  2 W 1.95
N  0.5000  0.0000  0.0000  2 W 1.95



No. 3
Material: TbTl2Zn3F12
Method: DFT, PBE-GGA
State: relaxed

Results
calculated total energy = -4.4578 eV/atom
uncorrected formation energy = -2.4778 eV per atom
total magnetic moment = 0.00 μB/cell
space-group type = R-3m

Unit cell a=6.7903 b=6.7903 c=6.7903 alpha=67.75 beta=67.75 gamma=67.75
Last column: nearest neighbours and their distance in Å.
Positions (direct):
Tb  0.0000  0.0000  0.0000  12 F 2.52-2.56
Tl  0.3924  0.3924  0.3924  3 F 2.41
Tl  0.6076  0.6076  0.6076  3 F 2.41
Zn  0.0000  0.0000  0.5000  6 F 2.03-2.04
Zn  0.0000  0.5000  0.0000  6 F 2.03-2.04
Zn  0.5000  0.0000  0.0000  6 F 2.03-2.04
F  0.1089  0.7547  0.7547  2 Zn 2.04
F  0.1521  0.1521  0.5816  1 Zn 2.03
F  0.1521  0.5816  0.1521  1 Zn 2.03
F  0.2453  0.2453  0.8911  2 Zn 2.04
F  0.2453  0.8911  0.2453  2 Zn 2.04
F  0.4184  0.8479  0.8479  1 Zn 2.03
F  0.5816  0.1521  0.1521  1 Zn 2.03
F  0.7547  0.1089  0.7547  2 Zn 2.04
F  0.7547  0.7547  0.1089  2 Zn 2.04
F  0.8479  0.4184  0.8479  1 Zn 2.03
F  0.8479  0.8479  0.4184  1 Zn 2.03
F  0.8911  0.2453  0.2453  2 Zn 2.04



No. 4
Material: Np2I2Br3
Method: DFT, PBE-GGA
State: relaxed

Results
calculated total energy = -5.8716 eV/atom
uncorrected formation energy = -1.0144 eV per atom
total magnetic moment = 9.00 μB/cell
space-group type = C2/m

Unit cell a=7.1609 b=7.1609 c=8.7111 alpha=112.65 beta=112.65 gamma=33.91
Last column: nearest neighbours and their distance in Å.
Positions (direct):
Np  0.1766  0.1766  0.2162  5 Br 3.02-3.18, 2 I 3.18
Np  0.8234  0.8234  0.7838  5 Br 3.02-3.18, 2 I 3.18
I  0.1553  0.1553  0.8090  3 Np 3.18-3.44
I  0.8447  0.8447  0.1910  3 Np 3.18-3.44
Br  0.3667  0.3667  0.5689  3 Np 3.02-3.13
Br  0.5000  0.5000  0.0000  4 Np 3.18, 2 Br 3.45
Br  0.6333  0.6333  0.4311  3 Np 3.02-3.13



No. 5
Material: Sc2OsCl
Method: DFT, PBE-GGA
State: relaxed

Results
calculated total energy = -6.9262 eV/atom
uncorrected formation energy = -0.4913 eV per atom
total magnetic moment = 0.00 μB/cell
E above lowest polymorph = 452.8 meV per atom
space-group type = P4mm

Unit cell a=3.7771 b=3.7771 c=5.4014 alpha=90.00 beta=90.00 gamma=90.00
Last column: nearest neighbours and their distance in Å.
Positions (direct):
Sc  0.0000  0.0000  0.0000  4 Os 2.67, 2 Cl 2.70
Sc  0.5000  0.5000  0.4971  4 Cl 2.67, 2 Os 2.69-2.71
Os  0.5000  0.5000  0.9990  6 Sc 2.67-2.71
Cl  0.0000  0.0000  0.4999  6 Sc 2.67-2.70



No. 6
Material: Na2SmDySe4
Method: DFT, PBE-GGA
State: relaxed

Results
calculated total energy = -4.9370 eV/atom
uncorrected formation energy = -1.6998 eV per atom
total magnetic moment = 0.00 μB/cell
space-group type = P2/m

Unit cell a=7.2562 b=4.1898 c=7.4151 alpha=90.00 beta=109.02 gamma=90.00
Last column: nearest neighbours and their distance in Å.
Positions (direct):
Na  0.0000  0.0000  0.0000  6 Se 3.08-3.09
Na  0.5000  0.5000  0.0000  6 Se 3.04-3.05
Sm  0.0000  0.5000  0.5000  6 Se 2.93-2.94
Dy  0.5000  0.0000  0.5000  6 Se 2.89-2.90
Se  0.2487  0.0000  0.7327  1 Dy 2.89, 2 Sm 2.93, 3 Na 3.05-3.09
Se  0.2611  0.5000  0.2696  2 Dy 2.90, 1 Sm 2.94, 3 Na 3.04-3.08
Se  0.7389  0.5000  0.7304  2 Dy 2.90, 1 Sm 2.94, 3 Na 3.04-3.08
Se  0.7513  0.0000  0.2673  1 Dy 2.89, 2 Sm 2.93, 3 Na 3.05-3.09



No. 7
Material: La2Tb4Pr
Method: DFT, PBE-GGA
State: relaxed

Results
calculated total energy = -4.5277 eV/atom
formation energy from the elements = 0.21 eV/atom
total magnetic moment = 0.00 μB/cell
E above lowest polymorph = 0.0 meV per atom
space-group type = P2/m

Unit cell a=6.9563 b=10.5728 c=7.0891 alpha=90.00 beta=106.55 gamma=90.00
Last column: nearest neighbours and their distance in Å.
Positions (direct):
La  0.0000  0.0000  0.0000  4 Tb 3.38, 4 La 3.48-3.54
La  0.0000  0.0000  0.5000  8 Tb 3.49-3.88, 2 La 3.54
La  0.0000  0.5000  0.0000  8 Tb 3.47-3.85, 2 Pr 3.54
La  0.5000  0.0000  0.0000  2 La 3.48, 8 Tb 3.48-3.85
Tb  0.2706  0.2196  0.3113  2 La 3.38-3.49, 1 Pr 3.45, 5 Tb 3.53-3.69
Tb  0.2706  0.7804  0.3113  2 La 3.38-3.49, 1 Pr 3.45, 5 Tb 3.53-3.69
Tb  0.2719  0.2837  0.8107  1 Pr 3.36, 2 La 3.47-3.48, 5 Tb 3.52-3.69
Tb  0.2719  0.7163  0.8107  1 Pr 3.36, 2 La 3.47-3.48, 5 Tb 3.52-3.69
Tb  0.7281  0.2837  0.1893  1 Pr 3.36, 2 La 3.47-3.48, 5 Tb 3.52-3.69
Tb  0.7281  0.7163  0.1893  1 Pr 3.36, 2 La 3.47-3.48, 5 Tb 3.52-3.69
Tb  0.7294  0.2196  0.6887  2 La 3.38-3.49, 1 Pr 3.45, 5 Tb 3.53-3.69
Tb  0.7294  0.7804  0.6887  2 La 3.38-3.49, 1 Pr 3.45, 5 Tb 3.53-3.69
Pr  0.0000  0.5000  0.5000  4 Tb 3.36, 2 Pr 3.48, 2 La 3.54
Pr  0.5000  0.5000  0.5000  8 Tb 3.45-3.82, 2 Pr 3.48



No. 8
Material: NaV3Te
Method: DFT, PBE-GGA
State: relaxed

Results
calculated total energy = -5.1603 eV/atom
uncorrected formation energy = 1.2030 eV per atom
total magnetic moment = 11.27 μB/cell
E above lowest polymorph = 0.0 meV per atom
space-group type = Pm-3m

Unit cell a=5.2389 b=5.2389 c=5.2389 alpha=90.00 beta=90.00 gamma=90.00
Last column: nearest neighbours and their distance in Å.
Positions (direct):
Na  0.0000  0.0000  0.0000  12 V 3.70
V  0.0000  0.5000  0.5000  2 Te 2.62
V  0.5000  0.0000  0.5000  2 Te 2.62
V  0.5000  0.5000  0.0000  2 Te 2.62
Te  0.5000  0.5000  0.5000  6 V 2.62